First-principles (PBE-GGA) data for a geometry-optimized ZrMn2AlC structure, as listed in Alexandria.

Cell and atoms, written as POSCAR:
```
ZrMn2AlC
1.0
1.729 -5.424 0.000
1.729 5.424 0.000
0.000 0.000 7.149
Zr Mn Al C
2 4 2 2
Direct
0.034 0.966 0.750
0.966 0.034 0.250
0.337 0.663 0.559
0.337 0.663 0.941
0.663 0.337 0.059
0.663 0.337 0.441
0.247 0.753 0.250
0.753 0.247 0.750
0.500 0.500 0.000
0.500 0.500 0.500
```

Results
SG: Cmcm (63)
Fermi-level density of states (states/eV/cell): 5.480
Calculated formation energy (eV per atom): -0.212



First-principles (PBE-GGA) data for a geometry-optimized AlMo2C structure, as listed in Alexandria.

Cell and atoms, written as POSCAR:
```
AlMo2C
1.0
-3.520 3.520 2.226
3.520 -3.520 2.226
3.520 3.520 -2.226
Al Mo C
2 4 2
Direct
0.000 0.000 0.000
0.750 0.250 0.500
0.225 0.625 0.100
0.375 0.475 0.600
0.525 0.125 0.900
0.875 0.775 0.400
0.250 0.750 0.500
0.500 0.500 0.000
```

Results
E above lowest polymorph (meV/atom): 420.7
SG: I-42d (122)
Fermi-level density of states (states/eV/cell): 7.676
Calculated formation energy (eV per atom): 0.264



First-principles (PBE-GGA) data for a geometry-optimized AlMo2C structure, as listed in Alexandria.

Cell and atoms, written as POSCAR:
```
AlMo2C
1.0
1.514 0.874 6.773
-1.514 0.874 6.773
0.000 -1.748 6.773
Al Mo C
1 2 1
Direct
0.000 0.000 0.000
0.561 0.561 0.561
0.775 0.775 0.775
0.168 0.168 0.168
```

Results
E above lowest polymorph (meV/atom): 0.0
SG: R3m (160)
Fermi-level density of states (states/eV/cell): 2.367
Calculated formation energy (eV per atom): -0.157



First-principles (PBE-GGA) data for a geometry-optimized AlMoC3 structure, as listed in Alexandria.

Cell and atoms, written as POSCAR:
```
AlMoC3
1.0
3.802 0.000 0.000
0.000 3.802 0.000
0.000 0.000 3.802
Al Mo C
1 1 3
Direct
0.000 0.000 0.000
0.500 0.500 0.500
0.000 0.000 0.500
0.000 0.500 0.000
0.500 0.000 0.000
```

Results
E above lowest polymorph (meV/atom): 440.7
SG: Pm-3m (221)
Fermi-level density of states (states/eV/cell): 4.636
Calculated formation energy (eV per atom): 2.304



Question: Among the records above, which one has the highest calculated formation energy?
Answer: AlMoC3